A plane-wave DFT calculation with PBE-GGA was carried out for crystalline Ac2PrNdTl4 at its relaxed geometry.

Results
Theoretical density (g/cm3): 9.82
Space group: R-3m (166)
Uncorrected energy (eV/cell): -30.06

Cell and atoms, written as POSCAR:
```
Ac2PrNdTl4
1.0
2.857 1.649 9.310
-2.857 1.649 9.310
0.000 -3.299 9.310
Ac Pr Nd Tl
2 1 1 4
Cartesian
0.000 0.000 6.982
0.000 0.000 20.948
0.000 0.000 0.000
0.000 0.000 13.965
0.000 0.000 3.501
0.000 0.000 10.483
0.000 0.000 17.448
0.000 0.000 24.430
```

---

A plane-wave DFT calculation with PBE-GGA was carried out for crystalline AcPr2NdTl2 at its relaxed geometry.

Results
Theoretical density (g/cm3): 8.70
Space group: Pmc2_1 (26)
Uncorrected energy (eV/cell): -49.29

Cell and atoms, written as POSCAR:
```
AcPr2NdTl2
1.0
5.326 0.000 0.000
0.000 10.540 0.000
0.000 0.000 7.222
Ac Pr Nd Tl
2 4 2 4
Cartesian
0.000 0.520 0.000
0.000 10.019 3.611
0.000 3.374 2.786
0.000 7.166 6.397
2.663 4.762 0.785
2.663 5.777 4.396
2.663 2.045 5.232
2.663 8.494 1.621
0.000 3.884 6.101
0.000 6.656 2.490
2.663 1.446 1.964
2.663 9.094 5.575
```

---

A plane-wave DFT calculation with PBE-GGA was carried out for crystalline AcPrNd2Tl2 at its relaxed geometry.

Results
Theoretical density (g/cm3): 8.78
Space group: Pmc2_1 (26)
Uncorrected energy (eV/cell): -49.26

Cell and atoms, written as POSCAR:
```
AcPrNd2Tl2
1.0
5.319 0.000 0.000
0.000 10.554 0.000
0.000 0.000 7.175
Ac Pr Nd Tl
2 2 4 4
Cartesian
0.000 0.512 0.000
0.000 10.041 3.587
2.659 2.042 5.241
2.659 8.512 1.653
0.000 3.375 2.775
0.000 7.178 6.363
2.659 4.787 0.781
2.659 5.766 4.369
0.000 3.927 6.081
0.000 6.627 2.494
2.659 1.501 1.951
2.659 9.053 5.539
```

---

A plane-wave DFT calculation with PBE-GGA was carried out for crystalline Ac3Pr2Nd2Tl4 at its relaxed geometry.

Results
Theoretical density (g/cm3): 9.00
Space group: P-3m1 (164)
Uncorrected energy (eV/cell): -43.15

Cell and atoms, written as POSCAR:
```
Ac3Pr2Nd2Tl4
1.0
5.757 0.000 0.000
-2.878 4.985 0.000
0.000 0.000 13.295
Ac Pr Nd Tl
3 2 2 4
Cartesian
0.000 0.000 0.000
0.000 0.000 4.091
0.000 0.000 9.204
0.000 3.324 8.196
2.878 1.662 5.099
0.000 3.324 1.786
2.878 1.662 11.509
0.000 3.324 5.014
0.000 3.324 11.561
2.878 1.662 1.734
2.878 1.662 8.281
```

---

A plane-wave DFT calculation with PBE-GGA was carried out for crystalline AcPrNdTl at its relaxed geometry.

Results
Polymorph energy (0 for the lowest one) (kJ per mole of atoms): 1.8
Theoretical density (g/cm3): 8.83
Space group: F-43m (216)

Cell and atoms, written as POSCAR:
```
AcPrNdTl
1.0
0.000 4.069 4.069
4.069 0.000 4.069
4.069 4.069 0.000
Ac Pr Nd Tl
1 1 1 1
Cartesian
0.000 0.000 0.000
2.034 2.034 2.034
6.103 6.103 6.103
4.069 4.069 4.069
```

---

A plane-wave DFT calculation with PBE-GGA was carried out for crystalline AcPrNdTl at its relaxed geometry.

Results
Polymorph energy (0 for the lowest one) (kJ per mole of atoms): 0.0
Theoretical density (g/cm3): 8.70
Space group: Cm (8)

Cell and atoms, written as POSCAR:
```
AcPrNdTl
1.0
4.764 -3.056 0.000
4.764 3.056 0.000
-3.911 0.000 4.698
Ac Pr Nd Tl
1 1 1 1
Cartesian
0.000 0.000 0.000
-0.549 0.000 3.521
6.168 0.000 1.176
2.810 0.000 2.348
```

---

no.,total moment (μB per formula unit)
1,0.000
2,0.001
3,0.000
4,0.529
5,0.010
6,0.000